NaCuSnSe3 | OQMD | PBE | relaxed; crystal system = orthorhombic; offset from the most stable computed form = 40.4 meV/atom; SG = Pnma, No. 62; mass density = 5.23 g/cm3
1.0
-4.262 -4.660 9.098
-1.932 -2.527 -2.200
10.176 -8.250 0.541
Se Na Sn Cu
12 4 4 4
Direct
0.419 0.750 0.101
0.034 0.750 0.118
0.581 0.250 0.899
0.270 0.750 0.819
0.466 0.250 0.618
0.919 0.750 0.399
0.966 0.250 0.882
0.230 0.250 0.319
0.081 0.250 0.601
0.730 0.250 0.181
0.770 0.750 0.681
0.534 0.750 0.382
0.723 0.250 0.507
0.277 0.750 0.493
0.777 0.750 0.007
0.223 0.250 0.993
0.504 0.750 0.766
0.004 0.750 0.734
0.996 0.250 0.266
0.496 0.250 0.234
0.235 0.750 0.200
0.265 0.250 0.700
0.765 0.250 0.800
0.735 0.750 0.300